(1)
Compound: TePbWF2
Source: Alexandria
Functional: PBE with a Hubbard U
Structure: optimized geometry

Results
* final energy: -23.32 eV for the cell shown
* calculated volume: 116 Å³/f.u.

CIF file:
```
data_TePbWF2
_space_group_name_H-M_alt 'P 1'
_space_group_IT_number 1
_cell_length_a 4.319
_cell_length_b 6.220
_cell_length_c 4.319
_cell_angle_alpha 90.00
_cell_angle_beta 90.00
_cell_angle_gamma 90.00
loop_
_space_group_symop_operation_xyz
'x,y,z'
loop_
_atom_site_label
_atom_site_type_symbol
_atom_site_fract_x
_atom_site_fract_y
_atom_site_fract_z
Pb1 Pb 0.000 0.500 0.000
Te1 Te 0.500 0.500 0.500
W1 W 0.000 0.000 0.000
F1 F 0.000 0.000 0.500
F2 F 0.500 0.000 0.000
```

---

(2)
Compound: TePbW2F
Source: Alexandria
Functional: PBE with a Hubbard U
Structure: optimized geometry

Results
* final energy: -19.91 eV for the cell shown
* calculated volume: 131 Å³/f.u.

CIF file:
```
data_TePbW2F
_space_group_name_H-M_alt 'P 1'
_space_group_IT_number 1
_cell_length_a 4.659
_cell_length_b 6.019
_cell_length_c 4.659
_cell_angle_alpha 90.00
_cell_angle_beta 90.00
_cell_angle_gamma 90.00
loop_
_space_group_symop_operation_xyz
'x,y,z'
loop_
_atom_site_label
_atom_site_type_symbol
_atom_site_fract_x
_atom_site_fract_y
_atom_site_fract_z
Pb1 Pb 0.000 0.500 0.000
Te1 Te 0.500 0.500 0.500
W1 W 0.000 0.000 0.500
W2 W 0.500 0.000 0.000
F1 F 0.000 0.000 0.000
```